(1)
First-principles (PBE-GGA) data for a geometry-optimized NaPm4Pr3S8 structure, as listed in the Alexandria database.

POSCAR file:
```
NaPm4Pr3S8
1.0
4.064 2.346 6.642
-4.064 2.346 6.642
0.000 -4.692 6.642
Na Pm Pr S
1 4 3 8
direct
0.000 0.000 0.000
0.000 0.000 0.500
0.000 0.500 0.000
0.500 0.000 0.000
0.500 0.500 0.500
0.000 0.500 0.500
0.500 0.000 0.500
0.500 0.500 0.000
0.245 0.751 0.751
0.248 0.248 0.248
0.249 0.249 0.755
0.249 0.755 0.249
0.751 0.245 0.751
0.751 0.751 0.245
0.752 0.752 0.752
0.755 0.249 0.249
```

Values from the calculation:
Size of the total moment: 0.00 μB/cell
E_tot: -6.20 eV/atom
Raw formation energy: -190 kJ/mol of atoms
Crystal system: trigonal



(2)
First-principles (PBE-GGA) data for a geometry-optimized KZnHg2 structure, as listed in the Alexandria database.

POSCAR file:
```
KZnHg2
1.0
3.779 0.000 0.000
0.000 3.779 0.000
0.000 0.000 7.853
K Zn Hg
1 1 2
direct
0.000 0.000 0.000
0.000 0.000 0.500
0.500 0.500 0.303
0.500 0.500 0.697
```

Values from the calculation:
Size of the total moment: 0.00 μB/cell
Energy of formation: -0.072 eV/atom
E_tot: -0.82 eV/atom
Crystal system: tetragonal



(3)
First-principles (PBE-GGA) data for a geometry-optimized YTh2Zr structure, as listed in the Alexandria database.

POSCAR file:
```
YTh2Zr
1.0
1.752 1.012 11.173
-1.752 1.012 11.173
0.000 -2.023 11.173
Y Th Zr
1 2 1
direct
0.000 0.000 0.000
0.246 0.246 0.246
0.754 0.754 0.754
0.500 0.500 0.500
```

Values from the calculation:
Size of the total moment: 0.00 μB/cell
Energy of formation: 0.113 eV/atom
E_tot: -7.35 eV/atom
Crystal system: trigonal



(4)
First-principles (PBE-GGA) data for a geometry-optimized LaCo2AsRu structure, as listed in the Alexandria database.

POSCAR file:
```
LaCo2AsRu
1.0
4.309 0.000 0.000
0.000 4.309 0.000
0.000 0.000 5.665
La Co As Ru
1 2 1 1
direct
0.000 0.000 0.000
0.000 0.500 0.500
0.500 0.000 0.500
0.000 0.000 0.500
0.500 0.500 0.000
```

Values from the calculation:
Size of the total moment: 3.14 μB/cell
Energy of formation: 0.670 eV/atom
E_tot: -5.94 eV/atom
Crystal system: tetragonal



(5)
First-principles (PBE-GGA) data for a geometry-optimized NbCr2P structure, as listed in the Alexandria database.

POSCAR file:
```
NbCr2P
1.0
-3.489 3.489 2.457
3.489 -3.489 2.457
3.489 3.489 -2.457
Nb Cr P
2 4 2
direct
0.000 0.000 0.000
0.750 0.250 0.500
0.200 0.625 0.075
0.375 0.450 0.575
0.550 0.125 0.925
0.875 0.800 0.425
0.250 0.750 0.500
0.500 0.500 0.000
```

Values from the calculation:
Size of the total moment: 4.00 μB/cell
Energy of formation: 0.242 eV/atom
E_tot: -8.44 eV/atom
Crystal system: tetragonal



Copy entry 3 word for word.
First-principles (PBE-GGA) data for a geometry-optimized YTh2Zr structure, as listed in the Alexandria database.

POSCAR file:
```
YTh2Zr
1.0
1.752 1.012 11.173
-1.752 1.012 11.173
0.000 -2.023 11.173
Y Th Zr
1 2 1
direct
0.000 0.000 0.000
0.246 0.246 0.246
0.754 0.754 0.754
0.500 0.500 0.500
```

Values from the calculation:
Size of the total moment: 0.00 μB/cell
Energy of formation: 0.113 eV/atom
E_tot: -7.35 eV/atom
Crystal system: trigonal



- Number 3 is which compound?
  YTh2Zr